[1]
First-principles (PBE) data for PmYLuCd after structural relaxation, as listed in the Alexandria database.

Cell lengths 5.4651, 5.4651, 5.4651 Å; angles 60.00, 60.00, 60.00 degrees
With the nearest neighbours (Å) after each atom.
Sites, in units of the cell vectors:
Cd1 0.5000 0.5000 0.5000  4 Pm 3.35, 4 Y 3.35
Y1 0.2500 0.2500 0.2500  4 Cd 3.35, 4 Lu 3.35
Lu1 0.0000 0.0000 0.0000  4 Pm 3.35, 4 Y 3.35
Pm1 0.7500 0.7500 0.7500  4 Cd 3.35, 4 Lu 3.35

## Properties
Raw total energy ... -16.86 eV/cell
Space-group type ... F-43m, No. 216
N(E_F) ... 4.867 states/eV/f.u.

***

[2]
First-principles (PBE) data for AgSnS2 after structural relaxation, as listed in the Alexandria database.

Cell lengths 4.9026, 4.9413, 8.1662 Å; angles 90.00, 90.00, 90.01 degrees
With the nearest neighbours (Å) after each atom.
Sites, in units of the cell vectors:
S1 0.7012 0.6403 0.7376  1 Sn 2.44, 3 Ag 2.59-2.62
Sn1 0.7008 0.3299 0.9694  4 S 2.44-2.63
Ag1 0.2012 0.8100 0.7300  4 S 2.59-2.72
Ag2 0.7011 0.3101 0.4860  4 S 2.59-2.72
Sn2 0.2008 0.8299 0.2465  4 S 2.44-2.63
S2 0.7009 0.6531 0.2249  3 Sn 2.61-2.63, 1 Ag 2.72
S3 0.2008 0.1531 0.9911  3 Sn 2.61-2.63, 1 Ag 2.72
S4 0.2010 0.1403 0.4784  1 Sn 2.44, 3 Ag 2.59-2.62

## Properties
Raw total energy ... -31.86 eV/cell
Space-group type ... Pmn2_1, No. 31
Formation energy without anion corrections ... -206 meV/atom
N(E_F) ... 0.505 states/eV/f.u.

***

[3]
First-principles (PBE) data for PtAu2 after structural relaxation, as listed in the Alexandria database.

Cell lengths 5.0043, 4.9951, 5.0219 Å; angles 146.41, 131.41, 60.38 degrees
With the nearest neighbours (Å) after each atom.
Sites, in units of the cell vectors:
Au1 0.9985 0.9974 0.9992  7 Au 2.85-2.93, 5 Pt 2.89-2.91
Pt1 0.3333 0.3333 0.0000  10 Au 2.89-2.91, 2 Pt 2.89
Au2 0.6682 0.6693 0.0008  7 Au 2.85-2.93, 5 Pt 2.89-2.91

## Properties
Raw total energy ... -12.44 eV/cell
Energy above the lowest structure with this stoichiometry ... 26 meV/atom
Space-group type ... P-1, No. 2
N(E_F) ... 1.245 states/eV/f.u.

***

[4]
First-principles (PBE) data for Ba6In2AgN after structural relaxation, as listed in the Alexandria database.

Cell lengths 8.1594, 8.6353, 11.8084 Å; angles 90.00, 89.08, 90.00 degrees
With the nearest neighbours (Å) after each atom.
Sites, in units of the cell vectors:
Ag1 0.5000 0.0000 0.0000  6 Ba 3.34-3.37
Ba1 0.4069 0.9816 0.7262  1 N 2.77
N1 0.0000 0.5000 0.0000  6 Ba 2.77-2.83
Ba2 0.9069 0.5184 0.2262  1 N 2.77
N2 0.5000 0.0000 0.5000  6 Ba 2.77-2.83
Ba3 0.2182 0.1747 0.4510  1 N 2.82
Ba4 0.0931 0.4816 0.7738  1 N 2.77
In1 0.4724 0.4251 0.2520  6 Ba 3.60-3.93
Ba5 0.8308 0.7790 0.9555  1 N 2.83
Ba6 0.7182 0.3253 0.9510  1 N 2.82
Ba7 0.6692 0.2790 0.5445  1 N 2.83
Ag2 0.0000 0.5000 0.5000  6 Ba 3.34-3.37
Ba8 0.1692 0.2210 0.0445  1 N 2.83
Ba9 0.3308 0.7210 0.4555  1 N 2.83
Ba10 0.5931 0.0184 0.2738  1 N 2.77
In2 0.9724 0.0749 0.7520  6 Ba 3.60-3.93
Ba11 0.7818 0.8253 0.5490  1 N 2.82
In3 0.0276 0.9251 0.2480  6 Ba 3.60-3.93
In4 0.5276 0.5749 0.7480  6 Ba 3.60-3.93
Ba12 0.2818 0.6747 0.0490  1 N 2.82

## Properties
Raw total energy ... -62.32 eV/cell
Space-group type ... P2_1/c, No. 14
Formation energy without anion corrections ... -297 meV/atom
N(E_F) ... 11.405 states/eV/f.u.

***

[5]
First-principles (PBE) data for CdInB after structural relaxation, as listed in the Alexandria database.

Cell lengths 8.5159, 4.2559, 5.9974 Å; angles 90.00, 90.00, 90.00 degrees
With the nearest neighbours (Å) after each atom.
Sites, in units of the cell vectors:
In1 0.3655 0.7500 0.9952  4 B 2.56-2.62
In2 0.8655 0.7500 0.5048  4 B 2.56-2.62
Cd1 0.1166 0.2500 0.9956  4 B 2.61-2.66, 2 Cd 2.91
Cd2 0.6166 0.2500 0.5044  4 B 2.61-2.66, 2 Cd 2.91
Cd3 0.8834 0.7500 0.0044  4 B 2.61-2.66, 2 Cd 2.91
B1 0.6210 0.7500 0.7698  4 In 2.56-2.62, 4 Cd 2.61-2.66
B2 0.1210 0.7500 0.7302  4 In 2.56-2.62, 4 Cd 2.61-2.66
B3 0.8790 0.2500 0.2698  4 In 2.56-2.62, 4 Cd 2.61-2.66
Cd4 0.3834 0.7500 0.4956  4 B 2.61-2.66, 2 Cd 2.91
B4 0.3790 0.2500 0.2302  4 In 2.56-2.62, 4 Cd 2.61-2.66
In3 0.1345 0.2500 0.4952  4 B 2.56-2.62
In4 0.6345 0.2500 0.0048  4 B 2.56-2.62

## Properties
Raw total energy ... -33.08 eV/cell
Space-group type ... Pnma, No. 62
N(E_F) ... 0.450 states/eV/f.u.

***

[6]
First-principles (PBE) data for Y2TlP after structural relaxation, as listed in the Alexandria database.

Cell lengths 3.9256, 3.9256, 8.2493 Å; angles 76.38, 76.38, 59.87 degrees
With the nearest neighbours (Å) after each atom.
Sites, in units of the cell vectors:
Tl1 0.2500 0.2500 0.2500  6 Y 3.27-3.28
Y1 0.0169 0.0169 0.9514  3 P 2.77
Y2 0.4831 0.4831 0.5486  3 P 2.77
P1 0.7500 0.7500 0.7500  6 Y 2.77

## Properties
Raw total energy ... -24.69 eV/cell
Energy above the lowest structure with this stoichiometry ... 0 meV/atom
Space-group type ... C2/m, No. 12
N(E_F) ... 2.320 states/eV/f.u.

***

[7]
First-principles (PBE) data for MoPH after structural relaxation, as listed in the Alexandria database.

Cell lengths 3.2064, 4.5135, 4.9876 Å; angles 102.62, 90.00, 110.81 degrees
With the nearest neighbours (Å) after each atom.
Sites, in units of the cell vectors:
P1 0.6505 0.3011 0.3794  2 H 2.29, 4 Mo 2.46-2.52
H1 0.3356 0.6712 0.0957  3 Mo 1.91-1.97
H2 0.9569 0.9138 0.3772  2 Mo 1.86
P2 0.0009 0.0017 0.8704  4 H 2.40-2.64, 5 Mo 2.41-2.51
Mo1 0.7229 0.4457 0.9161  2 H 1.97
Mo2 0.3813 0.7626 0.4903  3 H 1.86-1.91

## Properties
Raw total energy ... -40.78 eV/cell
Space-group type ... Cm, No. 8
N(E_F) ... 1.015 states/eV/f.u.

***

[8]
First-principles (PBE) data for Cs2HoInI6 after structural relaxation, as listed in the Alexandria database.

Cell lengths 8.6953, 9.1640, 12.6145 Å; angles 90.00, 89.75, 90.00 degrees
With the nearest neighbours (Å) after each atom.
Sites, in units of the cell vectors:
Cs1 0.0250 0.9271 0.2490  8 I 3.91-4.34
In1 0.0000 0.5000 0.5000  6 I 3.44-3.49
I1 0.2856 0.6825 0.0409  1 Ho 3.04
Cs2 0.5250 0.5729 0.7490  8 I 3.91-4.34
Cs3 0.9750 0.0729 0.7510  8 I 3.91-4.34
I2 0.1804 0.2208 0.0403  1 Ho 3.05
Ho1 0.0000 0.5000 0.0000  6 I 3.03-3.05
In2 0.5000 0.0000 0.0000  6 I 3.44-3.49
I3 0.7856 0.8175 0.5409  1 Ho 3.04
Cs4 0.4750 0.4271 0.2510  8 I 3.91-4.34
I4 0.2144 0.1825 0.4591  1 Ho 3.04
I5 0.8196 0.7792 0.9597  1 Ho 3.05
I6 0.3196 0.7208 0.4597  1 Ho 3.05
I7 0.5824 0.0130 0.2665  1 Ho 3.03
I8 0.0824 0.4870 0.7665  1 Ho 3.03
I9 0.9176 0.5130 0.2335  1 Ho 3.03
I10 0.4176 0.9870 0.7335  1 Ho 3.03
I11 0.6804 0.2792 0.5403  1 Ho 3.05
I12 0.7144 0.3175 0.9591  1 Ho 3.04
Ho2 0.5000 0.0000 0.5000  6 I 3.03-3.05

## Properties
Raw total energy ... -62.55 eV/cell
Space-group type ... P2_1/c, No. 14
Formation energy without anion corrections ... -1295 meV/atom
N(E_F) ... 0.000 states/eV/f.u.

***

[9]
First-principles (PBE) data for SrPaP2S8 after structural relaxation, as listed in the Alexandria database.

Cell lengths 6.0929, 6.0929, 9.0529 Å; angles 90.00, 90.00, 120.00 degrees
With the nearest neighbours (Å) after each atom.
Sites, in units of the cell vectors:
S1 0.6557 0.6596 0.6913  1 P 2.09
P1 0.6667 0.3333 0.2363  4 S 1.99-2.09
Pa1 0.0000 0.0000 0.5000  6 S 2.71
S2 0.3443 0.3404 0.3087  1 P 2.09
S3 0.6667 0.3333 0.0161  1 P 1.99
S4 0.9962 0.6557 0.3087  1 P 2.09
S5 0.0038 0.3443 0.6913  1 P 2.09
S6 0.3333 0.6667 0.9839  1 P 1.99
P2 0.3333 0.6667 0.7637  4 S 1.99-2.09
S7 0.3404 0.9962 0.6913  1 P 2.09
Sr1 0.0000 0.0000 0.0000  12 S 3.49-3.52
S8 0.6596 0.0038 0.3087  1 P 2.09

## Properties
Raw total energy ... -64.59 eV/cell
Space-group type ... P-3, No. 147
Formation energy without anion corrections ... -798 meV/atom
N(E_F) ... 5.084 states/eV/f.u.

***

[10]
First-principles (PBE) data for CePmPr6Nd2 after structural relaxation, as listed in the Alexandria database.

Cell lengths 9.0534, 7.0670, 6.7800 Å; angles 121.41, 102.52, 90.00 degrees
With the nearest neighbours (Å) after each atom.
Sites, in units of the cell vectors:
Pr1 0.7986 0.9395 0.3541  2 Nd 3.23-3.60, 2 Pr 3.36-3.61, 1 Pm 3.39, 1 Ce 3.59
Ce1 0.0000 0.5000 0.0000  6 Pr 3.59-3.65, 4 Nd 3.87
Pr2 0.2014 0.0605 0.6459  2 Nd 3.23-3.60, 2 Pr 3.36-3.61, 1 Pm 3.39, 1 Ce 3.59
Nd1 0.1627 0.0889 0.1778  1 Nd 3.14, 2 Pr 3.23, 1 Pm 3.46
Nd2 0.8373 0.9111 0.8222  1 Nd 3.14, 2 Pr 3.23, 1 Pm 3.46
Pr3 0.5871 0.3769 0.7539  7 Pr 3.59-3.97, 1 Ce 3.65, 2 Pm 3.96
Pr4 0.2014 0.5854 0.6459  2 Nd 3.23-3.60, 2 Pr 3.36-3.61, 1 Pm 3.39, 1 Ce 3.59
Pm1 0.5000 0.0000 0.0000  4 Pr 3.39, 2 Nd 3.46
Pr5 0.4129 0.6231 0.2461  7 Pr 3.59-3.97, 1 Ce 3.65, 2 Pm 3.96
Pr6 0.7986 0.4146 0.3541  2 Nd 3.23-3.60, 2 Pr 3.36-3.61, 1 Pm 3.39, 1 Ce 3.59

## Properties
Raw total energy ... -46.68 eV/cell
Space-group type ... C2/m, No. 12
N(E_F) ... 21.408 states/eV/f.u.

***

[11]
First-principles (PBE) data for BeTePd after structural relaxation, as listed in the Alexandria database.

Cell lengths 7.0705, 4.1067, 8.2109 Å; angles 90.00, 90.00, 90.00 degrees
With the nearest neighbours (Å) after each atom.
Sites, in units of the cell vectors:
Pd1 0.7336 0.2500 0.9590  3 Be 2.26-2.34
Te1 0.6171 0.2500 0.6544  1 Be 2.55, 3 Pd 2.63-2.81
Be1 0.4206 0.2500 0.0140  3 Pd 2.26-2.34, 2 Be 2.35
Te2 0.8829 0.7500 0.1544  1 Be 2.55, 3 Pd 2.63-2.81
Pd2 0.7664 0.7500 0.4590  3 Be 2.26-2.34
Pd3 0.2336 0.2500 0.5410  3 Be 2.26-2.34
Te3 0.3829 0.7500 0.3456  1 Be 2.55, 3 Pd 2.63-2.81
Pd4 0.2664 0.7500 0.0410  3 Be 2.26-2.34
Be2 0.5794 0.7500 0.9860  3 Pd 2.26-2.34, 2 Be 2.35
Be3 0.0794 0.7500 0.5140  3 Pd 2.26-2.34, 2 Be 2.35
Te4 0.1171 0.2500 0.8456  1 Be 2.55, 3 Pd 2.63-2.81
Be4 0.9206 0.2500 0.4860  3 Pd 2.26-2.34, 2 Be 2.35

## Properties
Raw total energy ... -50.80 eV/cell
Space-group type ... Pnma, No. 62
Formation energy without anion corrections ... -213 meV/atom
N(E_F) ... 0.719 states/eV/f.u.

***

[12]
First-principles (PBE) data for Rb3SnBr6 after structural relaxation, as listed in the Alexandria database.

Cell lengths 9.5606, 9.5606, 9.5606 Å; angles 89.75, 89.75, 89.75 degrees
With the nearest neighbours (Å) after each atom.
Sites, in units of the cell vectors:
Sn1 0.5000 0.5000 0.5000  6 Br 3.01
Rb1 0.7164 0.3772 0.1267  6 Br 3.46-3.63
Br1 0.5795 0.2052 0.4208  1 Sn 3.01
Rb2 0.1267 0.7164 0.3772  6 Br 3.46-3.63
Sn2 0.0000 0.0000 0.0000  6 Br 2.66
Br2 0.4205 0.7948 0.5792  1 Sn 3.01
Br3 0.9573 0.7272 0.0383  1 Sn 2.66
Rb3 0.8733 0.2836 0.6228  6 Br 3.46-3.63
Br4 0.9617 0.0427 0.2728  1 Sn 2.66
Br5 0.2052 0.4208 0.5795  1 Sn 3.01
Br6 0.4208 0.5795 0.2052  1 Sn 3.01
Br7 0.7272 0.0383 0.9573  1 Sn 2.66
Rb4 0.6228 0.8733 0.2836  6 Br 3.46-3.63
Rb5 0.2836 0.6228 0.8733  6 Br 3.46-3.63
Br8 0.7948 0.5792 0.4205  1 Sn 3.01
Br9 0.2728 0.9617 0.0427  1 Sn 2.66
Br10 0.0383 0.9573 0.7272  1 Sn 2.66
Br11 0.5792 0.4205 0.7948  1 Sn 3.01
Br12 0.0427 0.2728 0.9617  1 Sn 2.66
Rb6 0.3772 0.1267 0.7164  6 Br 3.46-3.63

## Properties
Raw total energy ... -60.77 eV/cell
Space-group type ... R-3, No. 148
Formation energy without anion corrections ... -1344 meV/atom

***

raw total energy of number 9 (SrPaP2S8)?
-64.59 eV/cell

***

Among the records above, which one has the lowest raw total energy?
SrPaP2S8